[1]
First-principles (PBE) data for a relaxed HfBe4Cu8 crystal, as listed in the Alexandria database.

Lattice parameters (Å, degrees): 4.5047 6.1462 6.1462 82.28 68.50 68.50
Element x y z (fractional)
Cu: 0.3477 0.6523 0.6523
Cu: 0.6523 0.3477 0.3477
Cu: 0.7172 0.7828 0.7828
Cu: 0.0000 0.3477 0.6523
Cu: 0.2828 0.2172 0.2172
Cu: 0.0000 0.6523 0.3477
Be: 0.5000 0.5000 0.0000
Cu: 0.5000 0.7828 0.2172
Be: 0.0000 0.0000 0.5000
Be: 0.5000 0.0000 0.5000
Be: 0.0000 0.5000 0.0000
Hf: 0.0000 0.0000 0.0000
Cu: 0.5000 0.2172 0.7828

Values from the calculation:
crystal system: tetragonal
ΔH_f (0 K): -1.8 eV per formula unit
calculated volume: 11.33 Å³ per atom
DOS at the Fermi energy: 4.198 states/eV/cell

=====

[2]
First-principles (PBE) data for a relaxed Er2Si5Os3 crystal, as listed in the Alexandria database.

Lattice parameters (Å, degrees): 5.6311 8.2325 8.2325 94.77 69.96 69.96
Element x y z (fractional)
Er: 0.7677 0.5962 0.8688
Si: 0.6688 0.9261 0.7358
Os: 0.5946 0.5519 0.2576
Os: 0.2500 0.9998 0.0002
Er: 0.2677 0.8688 0.5962
Os: 0.7500 0.0002 0.9998
Si: 0.7500 0.2076 0.7924
Si: 0.2500 0.7924 0.2076
Si: 0.2500 0.2078 0.7922
Si: 0.2500 0.4998 0.5002
Os: 0.0946 0.2576 0.5519
Os: 0.4054 0.4481 0.7424
Er: 0.2323 0.4038 0.1312
Si: 0.3312 0.0739 0.2642
Si: 0.7500 0.7922 0.2078
Si: 0.7500 0.5002 0.4998
Er: 0.7323 0.1312 0.4038
Si: 0.1688 0.7358 0.9261
Si: 0.8312 0.2642 0.0739
Os: 0.9054 0.7424 0.4481

Values from the calculation:
formation energy from raw total energies: -7.2 eV per formula unit
crystal system: orthorhombic
calculated volume: 16.40 Å³ per atom
DOS at the Fermi energy: 5.835 states/eV/cell

=====

[3]
First-principles (PBE) data for a relaxed NaNbF2 crystal, as listed in the Alexandria database.

Lattice parameters (Å, degrees): 4.3694 4.3694 4.3694 60.00 60.00 60.00
Element x y z (fractional)
F: 0.7500 0.7500 0.7500
Na: 0.0000 0.0000 0.0000
F: 0.2500 0.2500 0.2500
Nb: 0.5000 0.5000 0.5000

Values from the calculation:
formation energy from raw total energies: -3.6 eV per formula unit
crystal system: cubic
calculated volume: 14.75 Å³ per atom
DOS at the Fermi energy: 3.203 states/eV/cell
energy above the lowest structure with this stoichiometry: 1068 meV/atom

=====

[4]
First-principles (PBE) data for a relaxed NbOsS2Cl crystal, as listed in the Alexandria database.

Lattice parameters (Å, degrees): 4.6030 4.6030 4.7433 90.00 90.00 90.00
Element x y z (fractional)
S: 0.5000 0.0000 0.0000
Os: 0.0000 0.0000 0.0000
Cl: 0.0000 0.0000 0.5000
S: 0.0000 0.5000 0.0000
Nb: 0.5000 0.5000 0.5000

Values from the calculation:
formation energy from raw total energies: 3.9 eV per formula unit
crystal system: tetragonal
calculated volume: 20.10 Å³ per atom
DOS at the Fermi energy: 5.750 states/eV/cell
energy above the lowest structure with this stoichiometry: 0 meV/atom

=====

[5]
First-principles (PBE) data for a relaxed CsGa2B crystal, as listed in the Alexandria database.

Lattice parameters (Å, degrees): 6.7398 6.7398 6.7376 59.99 59.99 90.00
Element x y z (fractional)
Ga: 0.3754 0.6250 0.2500
Ga: 0.3746 0.1250 0.2500
B: 0.5000 0.5000 0.0000
B: 0.2500 0.7500 0.5000
Cs: 0.0000 0.0000 0.0000
Ga: 0.3750 0.6254 0.7500
Cs: 0.7500 0.2500 0.5000
Ga: 0.8750 0.6246 0.7500

Values from the calculation:
crystal system: cubic
ΔH_f (0 K): 1.5 eV per formula unit
calculated volume: 27.04 Å³ per atom
DOS at the Fermi energy: 3.233 states/eV/cell

=====

[6]
First-principles (PBE) data for a relaxed Ag7Pd2Au3 crystal, as listed in the Alexandria database.

Lattice parameters (Å, degrees): 4.0100 4.1562 13.9696 98.55 90.00 90.00
Element x y z (fractional)
Pd: 0.0000 0.1516 0.3032
Pd: 0.0000 0.8484 0.6968
Ag: 0.0000 0.0000 0.0000
Au: 0.5000 0.6507 0.3014
Au: 0.5000 0.3493 0.6986
Ag: 0.5000 0.9230 0.8460
Ag: 0.0000 0.7195 0.4391
Au: 0.5000 0.5000 0.0000
Ag: 0.0000 0.4232 0.8463
Ag: 0.0000 0.2805 0.5609
Ag: 0.0000 0.5768 0.1537
Ag: 0.5000 0.0770 0.1540

Values from the calculation:
crystal system: orthorhombic
ΔH_f (0 K): 0.9 eV per formula unit
calculated volume: 19.19 Å³ per atom
DOS at the Fermi energy: 2.610 states/eV/cell
energy above the lowest structure with this stoichiometry: 30 meV/atom

=====

[7]
First-principles (PBE) data for a relaxed Mg3In3Hg crystal, as listed in the Alexandria database.

Lattice parameters (Å, degrees): 8.1759 8.1759 8.1759 90.00 90.00 90.00
Element x y z (fractional)
Mg: 0.7500 0.5000 0.0000
Mg: 0.2500 0.5000 0.0000
Mg: 0.0000 0.2500 0.5000
Mg: 0.0000 0.7500 0.5000
In: 0.7500 0.0000 0.5000
In: 0.0000 0.5000 0.7500
In: 0.5000 0.2500 0.0000
In: 0.5000 0.7500 0.0000
In: 0.2500 0.0000 0.5000
Mg: 0.5000 0.0000 0.7500
Hg: 0.5000 0.5000 0.5000
Mg: 0.5000 0.0000 0.2500
Hg: 0.0000 0.0000 0.0000
In: 0.0000 0.5000 0.2500

Values from the calculation:
crystal system: cubic
ΔH_f (0 K): 3.3 eV per formula unit
calculated volume: 39.04 Å³ per atom
DOS at the Fermi energy: 12.241 states/eV/cell
energy above the lowest structure with this stoichiometry: 531 meV/atom

=====

[8]
First-principles (PBE) data for a relaxed Ni6BPt2N crystal, as listed in the Alexandria database.

Lattice parameters (Å, degrees): 5.3030 5.3030 5.4450 119.13 119.14 89.96
Element x y z (fractional)
N: 0.0352 0.0357 0.0708
Ni: 0.2276 0.2282 0.9661
Pt: 0.7349 0.2357 0.4696
B: 0.5291 0.5295 0.0588
Ni: 0.2278 0.7389 0.9659
Ni: 0.7384 0.2282 0.9659
Pt: 0.2351 0.7354 0.4696
Ni: 0.7381 0.7387 0.9662
Ni: 0.2678 0.2683 0.5356
Ni: 0.7649 0.7654 0.5294

Values from the calculation:
formation energy from raw total energies: 0.2 eV per formula unit
crystal system: tetragonal
calculated volume: 11.11 Å³ per atom
DOS at the Fermi energy: 12.960 states/eV/cell

=====

[9]
First-principles (PBE) data for a relaxed YRe2 crystal, as listed in the Alexandria database.

Lattice parameters (Å, degrees): 5.7923 5.7923 7.5566 68.30 68.30 29.52
Element x y z (fractional)
Re: 0.5505 0.5505 0.2901
Y: 0.1495 0.1495 0.8995
Re: 0.1494 0.1494 0.4938
Y: 0.8505 0.8505 0.1005
Re: 0.8506 0.8506 0.5062
Re: 0.4495 0.4495 0.7099

Values from the calculation:
crystal system: monoclinic
ΔH_f (0 K): 0.8 eV per formula unit
calculated volume: 19.24 Å³ per atom
DOS at the Fermi energy: 6.672 states/eV/cell

=====

[10]
First-principles (PBE) data for a relaxed LiCdAgGe crystal, as listed in the Alexandria database.

Lattice parameters (Å, degrees): 4.9409 4.9409 4.5968 122.51 122.51 90.00
Element x y z (fractional)
Li: 0.7500 0.2500 0.5000
Ge: 0.2500 0.7500 0.5000
Cd: 0.5000 0.5000 0.0000
Ag: 0.0000 0.0000 0.0000

Values from the calculation:
crystal system: tetragonal
ΔH_f (0 K): -0.4 eV per formula unit
calculated volume: 18.23 Å³ per atom
DOS at the Fermi energy: 1.142 states/eV/cell
energy above the lowest structure with this stoichiometry: 0 meV/atom

=====

[11]
First-principles (PBE) data for a relaxed BaLi3Mg2 crystal, as listed in the Alexandria database.

Lattice parameters (Å, degrees): 6.2365 7.5013 7.5013 99.85 90.00 90.00
Element x y z (fractional)
Li: 0.2500 0.5564 0.9088
Li: 0.7500 0.0518 0.0518
Ba: 0.2500 0.3198 0.3198
Mg: 0.0000 0.7806 0.2194
Li: 0.7500 0.0912 0.4436
Li: 0.7500 0.4436 0.0912
Mg: 0.5000 0.2194 0.7806
Ba: 0.7500 0.6802 0.6802
Li: 0.2500 0.9088 0.5564
Li: 0.2500 0.9482 0.9482
Mg: 0.0000 0.2194 0.7806
Mg: 0.5000 0.7806 0.2194

Values from the calculation:
crystal system: orthorhombic
ΔH_f (0 K): 0.0 eV per formula unit
calculated volume: 28.81 Å³ per atom
DOS at the Fermi energy: 8.762 states/eV/cell

=====

[12]
First-principles (PBE) data for a relaxed YCo2H6 crystal, as listed in the Alexandria database.

Lattice parameters (Å, degrees): 4.0996 4.3473 4.3473 120.00 90.00 90.00
Element x y z (fractional)
H: 0.2436 0.5001 0.5001
H: 0.7564 0.0000 0.5001
H: 0.2436 0.4999 0.0000
Y: 0.0000 0.0000 0.0000
H: 0.7564 0.4999 0.4999
Co: 0.5000 0.6667 0.3333
H: 0.2436 0.0000 0.4999
Co: 0.5000 0.3333 0.6667
H: 0.7564 0.5001 0.0000

Values from the calculation:
E_tot: -4.856 eV per atom
crystal system: hexagonal
calculated volume: 7.46 Å³ per atom
DOS at the Fermi energy: 3.372 states/eV/cell

=====

[13]
First-principles (PBE) data for a relaxed AcMgGa2Au crystal, as listed in the Alexandria database.

Lattice parameters (Å, degrees): 4.4004 4.5387 6.5794 110.18 109.54 90.00
Element x y z (fractional)
Ga: 0.6930 0.1930 0.3861
Ac: 0.4461 0.4461 0.8922
Au: 0.8265 0.8265 0.6530
Ga: 0.0545 0.0545 0.1089
Mg: 0.1920 0.6920 0.3840

Values from the calculation:
crystal system: orthorhombic
ΔH_f (0 K): -3.0 eV per formula unit
calculated volume: 23.05 Å³ per atom
DOS at the Fermi energy: 3.143 states/eV/cell

=====

[14]
First-principles (PBE) data for a relaxed Zr5TiAl3 crystal, as listed in the Alexandria database.

Lattice parameters (Å, degrees): 5.8546 8.4368 8.4369 120.00 90.00 90.00
Element x y z (fractional)
Al: 0.7500 0.3386 0.3385
Zr: 0.7500 0.0000 0.3232
Al: 0.2500 0.0000 0.3385
Al: 0.7500 0.0000 0.6615
Zr: 0.5000 0.6667 0.3334
Zr: 0.7500 0.3232 0.0000
Zr: 0.2500 0.6768 0.0000
Zr: 0.5000 0.3333 0.6666
Zr: 0.2500 0.3231 0.3232
Zr: 0.0000 0.6667 0.3334
Al: 0.2500 0.6614 0.6615
Al: 0.2500 0.3385 0.0000
Zr: 0.0000 0.3333 0.6666
Zr: 0.7500 0.6769 0.6768
Al: 0.7500 0.6615 0.0000
Ti: 0.0000 0.0000 0.0000
Zr: 0.2500 0.0000 0.6768
Ti: 0.5000 0.0000 0.0000

Values from the calculation:
crystal system: hexagonal
ΔH_f (0 K): -3.0 eV per formula unit
calculated volume: 20.05 Å³ per atom
DOS at the Fermi energy: 17.110 states/eV/cell

=====

[15]
First-principles (PBE) data for a relaxed LiNiPd5 crystal, as listed in the Alexandria database.

Lattice parameters (Å, degrees): 7.4814 7.4814 8.6426 47.36 47.36 80.79
Element x y z (fractional)
Li: 0.6066 0.3934 0.2500
Pd: 0.8584 0.6385 0.5156
Pd: 0.1356 0.8644 0.7500
Pd: 0.3962 0.8690 0.8685
Ni: 0.0000 0.0000 0.0000
Pd: 0.6385 0.8584 0.0156
Pd: 0.6038 0.1310 0.1315
Pd: 0.1416 0.3615 0.4844
Pd: 0.8690 0.3962 0.3685
Pd: 0.3615 0.1416 0.9844
Ni: 0.0000 0.0000 0.5000
Li: 0.3934 0.6066 0.7500
Pd: 0.8644 0.1356 0.2500
Pd: 0.1310 0.6038 0.6315

Values from the calculation:
crystal system: monoclinic
ΔH_f (0 K): 0.2 eV per formula unit
calculated volume: 15.59 Å³ per atom
DOS at the Fermi energy: 18.506 states/eV/cell